Entry from the Alexandria database: a geometry-optimized Al2InF structure (PBE).

**Formation energy from raw total energies**: -402 meV/atom
**Energy**: -3.43 eV per atom
**Space-group type**: Fm-3m (225)
**ΔE to the lowest computed polymorph**: 52 kJ/mol of formula units

Lattice parameters (Å, degrees): 4.635 4.635 4.635 60.00 60.00 60.00
Positions (direct):
F 0.000 0.000 0.000
Al 0.250 0.250 0.250
Al 0.750 0.750 0.750
In 0.500 0.500 0.500